Record 1
A geometry-optimized Cs3CaMg2Br9 structure. Source: Alexandria, functional PBE.

For the magnetization, the calculation gives 0.0 Bohr magnetons per cell. The uncorrected formation energy is -1.724 eV/atom.

The space group is P-3m1 (No. 164) and the conventional cell measures 7.8435, 7.8435 and 9.6232 Å, with angles of 90.00, 90.00 and 120.00 degrees. Symmetry generates all atoms from Cs at (0.0000, 0.0000, 0.0000), Cs at (0.3333, 0.6667, 0.6694), Ca at (0.0000, 0.0000, 0.5000), Mg at (0.3333, 0.6667, 0.1603), Br at (0.0000, 0.5000, 0.0000) and Br at (0.1724, 0.3447, 0.3247).


Record 2
A geometry-optimized Hf5Ti2H12 structure. Source: Alexandria, functional PBE.

For the magnetization, the calculation gives 1.9 Bohr magnetons per cell. The calculation puts the energy at -5.85 eV per atom.

The space group is C2/m (No. 12) and the conventional cell measures 10.069, 5.513 and 6.497 Å, with angles of 90.00, 101.00 and 90.00 degrees. Symmetry generates all atoms from Hf at (0.000, 0.000, 0.000), Hf at (0.166, 0.500, 0.861), Hf at (0.213, 0.500, 0.324), Ti at (0.000, 0.231, 0.500), H at (0.017, 0.500, 0.321), H at (0.042, 0.000, 0.318), H at (0.165, 0.241, 0.092) and H at (0.183, 0.304, 0.597).


Record 3
A geometry-optimized RbGe2BiBr8 structure. Source: Alexandria, functional PBE.

For the magnetization, the calculation gives 0.0 Bohr magnetons per cell. The uncorrected formation energy is -0.794 eV/atom.

The space group is P-1 (No. 2) and the conventional cell measures 6.819, 7.408 and 9.859 Å, with angles of 91.90, 91.83 and 96.10 degrees. Symmetry generates all atoms from Rb at (0.000, 0.000, 0.000), Ge at (0.442, 0.559, 0.289), Bi at (0.000, 0.000, 0.500), Br at (0.224, 0.193, 0.299), Br at (0.232, 0.688, 0.476), Br at (0.267, 0.632, 0.081) and Br at (0.276, 0.137, 0.719).


Record 4
A geometry-optimized PrInF structure. Source: Alexandria, functional PBE.

For the magnetization, the calculation gives 0.0 Bohr magnetons per cell. The uncorrected formation energy is -1.571 eV/atom.

The space group is I4mm (No. 107) and the conventional cell measures 3.453, 3.453 and 12.305 Å, with angles of 90.00, 90.00 and 90.00 degrees. Symmetry generates all atoms from Pr at (0.000, 0.000, 0.000), In at (0.000, 0.000, 0.283) and F at (0.000, 0.000, 0.544).


Record 5
A geometry-optimized LaSb2Rh structure. Source: Alexandria, functional PBE.

For the magnetization, the calculation gives 0.0 Bohr magnetons per cell. The uncorrected formation energy is -0.469 eV/atom.

The space group is Cmmm (No. 65) and the conventional cell measures 4.505, 5.675 and 7.581 Å, with angles of 90.00, 90.00 and 90.00 degrees. Symmetry generates all atoms from La at (0.000, 0.000, 0.000), Sb at (0.000, 0.500, 0.300) and Rh at (0.000, 0.000, 0.500).


Record 6
A geometry-optimized ErPa2WN6 structure. Source: Alexandria, functional PBE.

For the magnetization, the calculation gives 0.9 Bohr magnetons per cell. The uncorrected formation energy is -1.094 eV/atom.

The space group is P4mm (No. 99) and the conventional cell measures 5.361, 5.361 and 5.264 Å, with angles of 90.00, 90.00 and 90.00 degrees. Symmetry generates all atoms from Er at (0.000, 0.000, 0.000), Pa at (0.000, 0.500, 0.428), W at (0.500, 0.500, 0.037), N at (0.000, 0.000, 0.584), N at (0.262, 0.262, 0.196) and N at (0.500, 0.500, 0.683).


Record 7
A geometry-optimized YSc2Pt structure. Source: Alexandria, functional PBE.

The energy of formation is -0.49 eV per atom. For the magnetization, the calculation gives 0.9 Bohr magnetons per cell.

The space group is P4/mmm (No. 123) and the conventional cell measures 4.272, 4.272 and 4.833 Å, with angles of 90.00, 90.00 and 90.00 degrees. Symmetry generates all atoms from Y at (0.000, 0.000, 0.000), Sc at (0.000, 0.500, 0.500) and Pt at (0.500, 0.500, 0.000).


Record 8
A geometry-optimized CaPr4Zn5 structure. Source: Alexandria, functional PBE.

The energy of formation is -0.29 eV per atom. For the magnetization, the calculation gives 0.0 Bohr magnetons per cell.

The space group is P4/mmm (No. 123) and the conventional cell measures 3.711, 3.711 and 18.557 Å, with angles of 90.00, 90.00 and 90.00 degrees. Symmetry generates all atoms from Ca at (0.000, 0.000, 0.000), Pr at (0.000, 0.000, 0.200), Pr at (0.000, 0.000, 0.399), Zn at (0.500, 0.500, 0.102), Zn at (0.500, 0.500, 0.300) and Zn at (0.500, 0.500, 0.500).


Record 9
A geometry-optimized MnReAs2 structure. Source: Alexandria, functional PBE.

The energy of formation is 0.43 eV per atom. For the magnetization, the calculation gives 3.9 Bohr magnetons per cell.

The space group is P2/m (No. 10) and the conventional cell measures 3.209, 4.241 and 4.919 Å, with angles of 90.00, 91.73 and 90.00 degrees. Symmetry generates all atoms from Mn at (0.000, 0.000, 0.000), Re at (0.500, 0.000, 0.500) and As at (0.383, 0.500, 0.237).


Record 10
A geometry-optimized La4Os2N structure. Source: Alexandria, functional PBE.

For the magnetization, the calculation gives 0.0 Bohr magnetons per cell. The uncorrected formation energy is -0.233 eV/atom.

The space group is I4/mmm (No. 139) and the conventional cell measures 4.928, 4.928 and 14.391 Å, with angles of 90.00, 90.00 and 90.00 degrees. Symmetry generates all atoms from La at (0.000, 0.000, 0.190), La at (0.000, 0.500, 0.000), Os at (0.000, 0.000, 0.367) and N at (0.000, 0.000, 0.000).


Record 11
A geometry-optimized EuHgPdRh structure. Source: Alexandria, functional PBE.

The energy of formation is -0.32 eV per atom. For the magnetization, the calculation gives 27.3 Bohr magnetons per cell.

The space group is F-43m (No. 216) and the conventional cell measures 6.810, 6.810 and 6.810 Å, with angles of 90.00, 90.00 and 90.00 degrees. Symmetry generates all atoms from Eu at (0.000, 0.000, 0.000), Hg at (0.000, 0.000, 0.500), Pd at (0.250, 0.250, 0.750) and Rh at (0.250, 0.250, 0.250).


Record 12
A geometry-optimized Cs12BiAu6 structure. Source: Alexandria, functional PBE.

The energy of formation is -0.27 eV per atom. For the magnetization, the calculation gives 0.7 Bohr magnetons per cell.

The space group is Im-3 (No. 204) and the conventional cell measures 12.677, 12.677 and 12.677 Å, with angles of 90.00, 90.00 and 90.00 degrees. Symmetry generates all atoms from Cs at (0.000, 0.175, 0.301), Bi at (0.000, 0.000, 0.000) and Au at (0.000, 0.384, 0.500).


Record 13
A geometry-optimized CdTcSn3 structure. Source: Alexandria, functional PBE.

The energy of formation is 0.20 eV per atom. For the magnetization, the calculation gives 0.7 Bohr magnetons per cell.

The space group is Pm-3m (No. 221) and the conventional cell measures 5.213, 5.213 and 5.213 Å, with angles of 90.00, 90.00 and 90.00 degrees. Symmetry generates all atoms from Cd at (0.000, 0.000, 0.000), Tc at (0.500, 0.500, 0.500) and Sn at (0.000, 0.500, 0.500).


Record 14
A geometry-optimized Si2As structure. Source: Alexandria, functional PBE.

For the magnetization, the calculation gives 0.0 Bohr magnetons per cell. The uncorrected formation energy is 0.397 eV/atom.

The space group is I4_1/amd (No. 141, origin choice 2) and the conventional cell measures 3.357, 3.357 and 37.232 Å, with angles of 90.00, 90.00 and 90.00 degrees. Symmetry generates all atoms from Si at (0.000, 0.250, 0.112), Si at (0.000, 0.250, 0.276) and As at (0.000, 0.250, 0.806).


Record 15
A geometry-optimized LaTbHoZn structure. Source: Alexandria, functional PBE.

The energy of formation is 0.03 eV per atom. For the magnetization, the calculation gives 0.1 Bohr magnetons per cell.

The space group is F-43m (No. 216) and the conventional cell measures 7.685, 7.685 and 7.685 Å, with angles of 90.00, 90.00 and 90.00 degrees. Symmetry generates all atoms from La at (0.000, 0.000, 0.000), Tb at (0.000, 0.000, 0.500), Ho at (0.250, 0.250, 0.750) and Zn at (0.250, 0.250, 0.250).


Record 16
A geometry-optimized PrDyNiRh structure. Source: Alexandria, functional PBE.

The energy of formation is -0.56 eV per atom. For the magnetization, the calculation gives 0.0 Bohr magnetons per cell.

The space group is Amm2 (No. 38) and the conventional cell measures 4.126, 3.910 and 10.884 Å, with angles of 90.00, 90.00 and 90.00 degrees. Symmetry generates all atoms from Pr at (0.000, 0.000, 0.000), Dy at (0.500, 0.000, 0.280), Ni at (0.500, 0.000, 0.570) and Rh at (0.000, 0.000, 0.725).


Record 17
A geometry-optimized Pm4Y9Tm11 structure. Source: Alexandria, functional PBE.

The energy of formation is 0.05 eV per atom. For the magnetization, the calculation gives 2.9 Bohr magnetons per cell.

The space group is Cmmm (No. 65) and the conventional cell measures 16.623, 24.962 and 3.677 Å, with angles of 90.00, 90.00 and 90.00 degrees. Symmetry generates all atoms from Pm at (0.154, 0.100, 0.000), Y at (0.000, 0.000, 0.000), Y at (0.103, 0.236, 0.000), Y at (0.140, 0.427, 0.000), Tm at (0.000, 0.135, 0.500), Tm at (0.000, 0.341, 0.500), Tm at (0.000, 0.500, 0.500), Tm at (0.212, 0.000, 0.500) and Tm at (0.226, 0.319, 0.500).


Record 18
A geometry-optimized MoRu5 structure. Source: Alexandria, functional PBE.

The energy of formation is -0.01 eV per atom. For the magnetization, the calculation gives 0.0 Bohr magnetons per cell.

The space group is Amm2 (No. 38) and the conventional cell measures 4.351, 2.751 and 14.236 Å, with angles of 90.00, 90.00 and 90.00 degrees. Symmetry generates all atoms from Mo at (0.000, 0.000, 0.000), Ru at (0.000, 0.000, 0.330), Ru at (0.000, 0.000, 0.666), Ru at (0.500, 0.000, 0.111), Ru at (0.500, 0.000, 0.444) and Ru at (0.500, 0.000, 0.778).


Record 19
A geometry-optimized Ho4Ga2Sn structure. Source: Alexandria, functional PBE.

The energy of formation is -0.36 eV per atom. For the magnetization, the calculation gives 0.0 Bohr magnetons per cell.

The space group is P-1 (No. 2) and the conventional cell measures 8.024, 8.034 and 8.076 Å, with angles of 109.07, 109.02 and 110.02 degrees. Symmetry generates all atoms from Ho at (0.121, 0.188, 0.429), Ho at (0.240, 0.808, 0.929), Ho at (0.308, 0.741, 0.429), Ho at (0.312, 0.379, 0.071), Ga at (0.000, 0.000, 0.000), Ga at (0.000, 0.500, 0.000), Ga at (0.000, 0.500, 0.500), Ga at (0.500, 0.500, 0.500) and Sn at (0.375, 0.125, 0.750).


Record 20
A geometry-optimized Sr3SiP2Pt9 structure. Source: Alexandria, functional PBE.

For the magnetization, the calculation gives 0.0 Bohr magnetons per cell. The uncorrected formation energy is -0.696 eV/atom.

The space group is P-3m1 (No. 164) and the conventional cell measures 6.4254, 6.4254 and 8.5509 Å, with angles of 90.00, 90.00 and 120.00 degrees. Symmetry generates all atoms from Sr at (0.0000, 0.0000, 0.0000), Sr at (0.3333, 0.6667, 0.6385), Si at (0.0000, 0.0000, 0.5000), P at (0.3333, 0.6667, 0.1846), Pt at (0.0000, 0.5000, 0.0000) and Pt at (0.1453, 0.2907, 0.2901).


Record 21
A geometry-optimized ScAlV2N structure. Source: Alexandria, functional PBE.

For the magnetization, the calculation gives 0.0 Bohr magnetons per cell. The uncorrected formation energy is -0.691 eV/atom.

The space group is P4/mmm (No. 123) and the conventional cell measures 3.955, 3.955 and 4.410 Å, with angles of 90.00, 90.00 and 90.00 degrees. Symmetry generates all atoms from Sc at (0.000, 0.000, 0.000), Al at (0.500, 0.500, 0.000), V at (0.000, 0.500, 0.500) and N at (0.000, 0.000, 0.500).


Record 22
A geometry-optimized DyHo4 structure. Source: Alexandria, functional PBE.

The energy of formation is 0.02 eV per atom. For the magnetization, the calculation gives 0.0 Bohr magnetons per cell.

The space group is C2/m (No. 12) and the conventional cell measures 6.095, 3.523 and 14.464 Å, with angles of 90.00, 97.92 and 90.00 degrees. Symmetry generates all atoms from Dy at (0.000, 0.000, 0.000), Ho at (0.100, 0.500, 0.800) and Ho at (0.200, 0.000, 0.600).


Record 23
A geometry-optimized SmZn12Au4 structure. Source: Alexandria, functional PBE.

The energy of formation is 0.00 eV per atom. For the magnetization, the calculation gives 0.0 Bohr magnetons per cell.

The space group is Im-3 (No. 204) and the conventional cell measures 8.853, 8.853 and 8.853 Å, with angles of 90.00, 90.00 and 90.00 degrees. Symmetry generates all atoms from Sm at (0.000, 0.000, 0.000), Zn at (0.000, 0.146, 0.356) and Au at (0.250, 0.250, 0.250).